Entry 1:
# AlRePt2Au

Crystalline AlRePt2Au at its relaxed geometry (GGA-PBE, the Alexandria database).

## Properties
formation enthalpy at 0 K = 1.04 eV per atom
space-group type = No. 123
energy relative to the lowest polymorph listed for this composition = 0.0 meV per atom

POSCAR file:
```
AlRePt2Au
1.0
4.8146 0.0000 0.0000
0.0000 4.7938 0.0000
0.0000 0.0000 4.8146
Al Pt Re Au
1 2 1 1
direct
0.0000 0.5000 0.0000
0.5000 0.0000 0.0000
0.0000 0.0000 0.5000
0.0000 0.0000 0.0000
0.5000 0.5000 0.5000
```

Entry 2:
# KAlN3

Crystalline KAlN3 at its relaxed geometry (GGA-PBE, the Alexandria database).

## Properties
space-group type = No. 221
raw formation energy = 921 meV/atom

POSCAR file:
```
KAlN3
1.0
3.9882 0.0000 0.0000
0.0000 3.9882 0.0000
0.0000 0.0000 3.9882
Al N K
1 3 1
direct
0.0000 0.0000 0.0000
0.0000 0.5000 0.0000
0.0000 0.0000 0.5000
0.5000 0.0000 0.0000
0.5000 0.5000 0.5000
```

Entry 3:
# BaSn2Pt2

Crystalline BaSn2Pt2 at its relaxed geometry (GGA-PBE, the Alexandria database).

## Properties
formation enthalpy at 0 K = -0.35 eV per atom
space-group type = No. 127

POSCAR file:
```
BaSn2Pt2
1.0
8.5238 0.0000 0.0000
0.0000 8.5238 0.0000
0.0000 0.0000 3.2240
Ba Sn Pt
2 4 4
direct
0.5000 0.5000 0.0000
0.0000 0.0000 0.0000
0.3689 0.8689 0.0000
0.6311 0.1311 0.0000
0.8689 0.6311 0.0000
0.1311 0.3689 0.0000
0.1534 0.6534 0.5000
0.3466 0.1534 0.5000
0.6534 0.8466 0.5000
0.8466 0.3466 0.5000
```

Entry 4:
# Sm4TmSc

Crystalline Sm4TmSc at its relaxed geometry (GGA-PBE, the Alexandria database).

## Properties
formation enthalpy at 0 K = 0.03 eV per atom
space-group type = No. 12
energy relative to the lowest polymorph listed for this composition = 0.0 meV per atom

POSCAR file:
```
Sm4TmSc
1.0
-2.9437 5.1308 1.5738
-6.1150 0.0405 0.2463
1.2629 0.0954 6.0091
Sm Sc Tm
4 1 1
direct
0.8365 0.8365 0.5001
0.1635 0.1635 0.4999
0.6661 0.6660 0.0001
0.3339 0.3340 0.9999
0.0000 0.0000 0.0000
0.5000 0.5000 0.5000
```

Entry 5:
# Ti2CuAg

Crystalline Ti2CuAg at its relaxed geometry (GGA-PBE, the Alexandria database).

## Properties
formation enthalpy at 0 K = 0.09 eV per atom
space-group type = No. 225

POSCAR file:
```
Ti2CuAg
1.0
4.0395 -1.9564 -0.5112
0.7474 -4.1169 1.7026
0.4612 -3.5396 -2.7685
Ti Cu Ag
2 1 1
direct
0.7500 0.7500 0.7500
0.2500 0.2500 0.2500
0.0000 0.0000 0.0000
0.5000 0.5000 0.5000
```

Entry 6:
# Dy2Pu3PaP6

Crystalline Dy2Pu3PaP6 at its relaxed geometry (GGA-PBE, the Alexandria database).

## Properties
formation enthalpy at 0 K = -1.35 eV per atom
space-group type = No. 12

POSCAR file:
```
Dy2Pu3PaP6
1.0
-2.8907 2.2359 5.8935
0.4561 -6.8010 -1.2756
6.6202 1.3656 1.3692
Pu P Dy Pa
3 6 2 1
direct
0.5000 0.5000 0.5000
0.8316 0.1684 0.5000
0.1684 0.8316 0.5000
0.7553 0.7553 0.2508
0.5880 0.9167 0.7495
0.4120 0.0833 0.2505
0.2447 0.2447 0.7492
0.0833 0.4120 0.2505
0.9167 0.5880 0.7495
0.3336 0.6664 0.0000
0.6664 0.3336 0.0000
0.0000 0.0000 0.0000
```

Entry 7:
# NaTbHgPd

Crystalline NaTbHgPd at its relaxed geometry (GGA-PBE, the Alexandria database).

## Properties
formation enthalpy at 0 K = -0.39 eV per atom
space-group type = No. 216

POSCAR file:
```
NaTbHgPd
1.0
-4.7442 1.5317 -0.6391
-2.6888 -1.7046 -3.8893
-3.7995 -3.1965 0.7800
Tb Na Hg Pd
1 1 1 1
direct
0.7500 0.7500 0.7500
0.2500 0.2500 0.2500
0.5000 0.5000 0.5000
0.0000 0.0000 0.0000
```

Entry 8:
# Sc3InO

Crystalline Sc3InO at its relaxed geometry (GGA-PBE, the Alexandria database).

## Properties
space-group type = No. 10
raw formation energy = -1409 meV/atom

POSCAR file:
```
Sc3InO
1.0
-1.3116 -0.8861 5.2431
-4.6087 -3.8937 -1.8170
3.7161 -3.8570 -1.1431
Sc O In
6 2 2
direct
0.8774 0.3461 0.7002
0.3770 0.1044 0.6998
0.8767 0.8626 0.6995
0.3774 0.3461 0.2002
0.8770 0.1044 0.1999
0.3767 0.8626 0.1995
0.6270 0.1044 0.4499
0.1270 0.1044 0.9499
0.3771 0.6044 0.6999
0.8771 0.6044 0.1999
```

Entry 9:
# KSc2Al

Crystalline KSc2Al at its relaxed geometry (GGA-PBE, the Alexandria database).

## Properties
formation enthalpy at 0 K = 0.47 eV per atom
space-group type = No. 47

POSCAR file:
```
KSc2Al
1.0
-2.2644 -1.9639 -1.9554
4.0948 -3.4879 -1.2389
-1.1676 -2.8777 4.2424
K Al Sc
1 1 2
direct
0.0000 0.5000 0.5000
0.5000 0.0000 0.5000
0.0000 0.0000 0.0000
0.5000 0.5000 0.0000
```

Entry 10:
# HfAlIn

Crystalline HfAlIn at its relaxed geometry (GGA-PBE, the Alexandria database).

## Properties
formation enthalpy at 0 K = -0.08 eV per atom
space-group type = No. 187
energy relative to the lowest polymorph listed for this composition = 8.2 meV per atom

POSCAR file:
```
HfAlIn
1.0
-1.4055 2.7256 0.5188
-2.0897 -0.2734 -4.2249
-2.1220 -1.8185 3.8054
In Hf Al
1 1 1
direct
0.1667 0.0000 0.0000
0.6668 0.6667 0.3333
0.1665 0.3333 0.6667
```

Entry 11:
# Cs3CdRe2O8

Crystalline Cs3CdRe2O8 at its relaxed geometry (GGA-PBE, the Alexandria database).

## Properties
space-group type = No. 164
raw formation energy = -1621 meV/atom

POSCAR file:
```
Cs3CdRe2O8
1.0
6.6151 0.0000 0.0000
-3.3076 5.7289 0.0000
0.0000 0.0000 9.9560
O Cs Cd Re
8 3 1 2
direct
0.6253 0.8126 0.2327
0.8126 0.1874 0.7673
0.6667 0.3333 0.0078
0.1874 0.8126 0.2327
0.3747 0.1874 0.7673
0.8126 0.6253 0.7673
0.1874 0.3747 0.2327
0.3333 0.6667 0.9922
0.0000 0.0000 0.0000
0.6667 0.3333 0.3038
0.3333 0.6667 0.6962
0.0000 0.0000 0.5000
0.6667 0.3333 0.8291
0.3333 0.6667 0.1709
```

Entry 12:
# LaLuTl2

Crystalline LaLuTl2 at its relaxed geometry (GGA-PBE, the Alexandria database).

## Properties
formation enthalpy at 0 K = -0.32 eV per atom
space-group type = No. 123

POSCAR file:
```
LaLuTl2
1.0
-2.1210 0.1244 3.9043
4.2837 -1.4589 2.3736
1.3479 4.8952 0.5762
La Tl Lu
1 2 1
direct
0.5000 0.0000 0.0000
0.0000 0.0000 0.5000
0.0000 0.5000 0.0000
0.5000 0.5000 0.5000
```

Entry 13:
# Rb2Te

Crystalline Rb2Te at its relaxed geometry (GGA-PBE, the Alexandria database).

## Properties
space-group type = No. 194
raw formation energy = -951 meV/atom
energy relative to the lowest polymorph listed for this composition = 52.6 meV per atom

POSCAR file:
```
Rb2Te
1.0
-4.3287 -0.0379 4.3456
4.8384 -3.7422 0.4584
4.0397 5.7221 4.0740
Rb Te
4 2
direct
0.0000 0.0000 0.5000
0.0000 0.0000 0.0000
0.3333 0.6667 0.7500
0.6667 0.3333 0.2500
0.6667 0.3333 0.7500
0.3333 0.6667 0.2500
```

Entry 14:
# Ba2Zn2P

Crystalline Ba2Zn2P at its relaxed geometry (GGA-PBE, the Alexandria database).

## Properties
formation enthalpy at 0 K = -0.40 eV per atom
space-group type = No. 139
energy relative to the lowest polymorph listed for this composition = 0.0 meV per atom

POSCAR file:
```
Ba2Zn2P
1.0
-3.6238 0.6630 -1.3270
-1.4688 -2.0939 2.9649
-3.0742 7.5279 6.3791
Zn Ba P
2 2 1
direct
0.2500 0.7500 0.5000
0.7500 0.2500 0.5000
0.5864 0.5864 0.8273
0.4136 0.4136 0.1727
0.0000 0.0000 0.0000
```

Entry 15:
# AlZn2Se

Crystalline AlZn2Se at its relaxed geometry (GGA-PBE, the Alexandria database).

## Properties
space-group type = No. 44
raw formation energy = -32 meV/atom
energy relative to the lowest polymorph listed for this composition = 110.2 meV per atom

POSCAR file:
```
AlZn2Se
1.0
6.0131 -0.0011 0.0016
3.6526 4.7766 -0.0016
-4.6811 -2.6951 2.6424
Se Zn Al
1 2 1
direct
0.3028 0.8028 0.5000
0.6891 0.1891 0.5000
0.0299 0.0299 0.0000
0.4782 0.4782 0.0000
```

Entry 16:
# FeNi2Os

Crystalline FeNi2Os at its relaxed geometry (GGA-PBE, the Alexandria database).

## Properties
formation enthalpy at 0 K = 0.10 eV per atom
space-group type = No. 12
energy relative to the lowest polymorph listed for this composition = 38.6 meV per atom

POSCAR file:
```
FeNi2Os
1.0
4.4383 0.0081 -0.0068
3.6906 2.4653 -0.0068
0.7154 0.2177 4.3882
Os Fe Ni
1 1 2
direct
0.7500 0.7500 0.7500
0.2500 0.2500 0.2500
0.4995 0.4995 0.4986
0.0005 0.0005 0.0014
```

Entry 17:
# K2SrIn

Crystalline K2SrIn at its relaxed geometry (GGA-PBE, the Alexandria database).

## Properties
formation enthalpy at 0 K = 0.05 eV per atom
space-group type = No. 10

POSCAR file:
```
K2SrIn
1.0
-6.5121 -0.8663 2.1069
-0.9969 -1.5475 -3.7174
1.3211 -6.0320 1.6032
Sr K In
1 2 1
direct
0.5000 0.2500 0.2500
0.0000 0.5294 0.5205
0.0000 0.9706 0.9795
0.5000 0.7500 0.7500
```

Entry 18:
# Ba8Na2In

Crystalline Ba8Na2In at its relaxed geometry (GGA-PBE, the Alexandria database).

## Properties
formation enthalpy at 0 K = -0.05 eV per atom
space-group type = No. 12
energy relative to the lowest polymorph listed for this composition = 14.0 meV per atom

POSCAR file:
```
Ba8Na2In
1.0
6.3773 0.0000 0.0000
0.0000 8.8590 0.0458
-3.1887 -3.7263 10.5600
In Ba Na
1 8 2
direct
0.5000 0.0000 0.0000
0.9777 0.2022 0.9554
0.8010 0.7022 0.6020
0.3447 0.0362 0.6895
0.5891 0.4239 0.1783
0.4109 0.5761 0.8217
0.0223 0.7978 0.0446
0.6553 0.9638 0.3105
0.1990 0.2978 0.3980
0.8201 0.2898 0.6402
0.1799 0.7102 0.3598
```

Entry 19:
# TlInSeCl2

Crystalline TlInSeCl2 at its relaxed geometry (GGA-PBE, the Alexandria database).

## Properties
space-group type = No. 123
raw formation energy = -691 meV/atom
energy relative to the lowest polymorph listed for this composition = 0.0 meV per atom

POSCAR file:
```
TlInSeCl2
1.0
-4.7393 1.2382 -1.9032
-0.6619 -4.9670 -1.5833
-2.1939 -1.2002 4.6824
Cl In Tl Se
2 1 1 1
direct
0.0000 0.5000 0.0000
0.5000 0.0000 0.0000
0.0000 0.0000 0.0000
0.5000 0.5000 0.5000
0.0000 0.0000 0.5000
```

Entry 20:
# CdAu6

Crystalline CdAu6 at its relaxed geometry (GGA-PBE, the Alexandria database).

## Properties
formation enthalpy at 0 K = -0.03 eV per atom
space-group type = No. 148
energy relative to the lowest polymorph listed for this composition = 0.0 meV per atom

POSCAR file:
```
CdAu6
1.0
-1.5939 -0.3119 -2.3917
0.8873 -7.0499 1.4930
-4.8371 3.7581 3.8984
Au Cd
6 1
direct
0.8871 0.7067 0.5693
0.1804 0.8626 0.2933
0.6822 0.5693 0.8626
0.3178 0.4307 0.1374
0.8196 0.1374 0.7067
0.1129 0.2933 0.4307
0.5000 0.0000 0.0000
```

| no. | density (g cm⁻³) |
| --- | --- |
| 1 | 11.96 |
| 2 | 2.83 |
| 3 | 10.85 |
| 4 | 7.18 |
| 5 | 6.81 |
| 6 | 9.04 |
| 7 | 9.04 |
| 8 | 4.82 |
| 9 | 2.49 |
| 10 | 8.86 |
| 11 | 4.45 |
| 12 | 10.34 |
| 13 | 3.76 |
| 14 | 4.75 |
| 15 | 5.18 |
| 16 | 12.60 |
| 17 | 2.56 |
| 18 | 3.50 |
| 19 | 5.31 |
| 20 | 16.57 |